## CdSn2Os (PBE)

Data for crystalline CdSn2Os at its relaxed geometry.

E_tot = -68.919 eV per cell
formation energy from the elements = 2.92 eV per formula unit

a = 6.672 Å, b = 6.672 Å, c = 11.280 Å
α = 90.00°, β = 90.00°, γ = 90.00°
Fractional coordinates of all 16 atoms:
Cd1 0.000 0.000 0.000
Cd2 0.000 0.500 0.250
Cd3 0.500 0.000 0.750
Cd4 0.500 0.500 0.500
Sn1 0.199 0.250 0.625
Sn2 0.250 0.699 0.875
Sn3 0.250 0.801 0.375
Sn4 0.301 0.250 0.125
Sn5 0.699 0.750 0.125
Sn6 0.750 0.199 0.375
Sn7 0.750 0.301 0.875
Sn8 0.801 0.750 0.625
Os1 0.000 0.000 0.500
Os2 0.000 0.500 0.750
Os3 0.500 0.000 0.250
Os4 0.500 0.500 0.000

=====

## CsDyHg2 (PBE)

Data for crystalline CsDyHg2 at its relaxed geometry.

E_tot = -6.997 eV per cell
formation energy from the elements = -0.94 eV per formula unit

a = 3.864 Å, b = 3.864 Å, c = 8.965 Å
α = 90.00°, β = 90.00°, γ = 90.00°
Fractional coordinates of all 4 atoms:
Cs1 0.000 0.000 0.000
Dy1 0.000 0.000 0.500
Hg1 0.500 0.500 0.316
Hg2 0.500 0.500 0.684

=====

## NiMoRh (PBE)

Data for crystalline NiMoRh at its relaxed geometry.

energy above the lowest structure with this stoichiometry = 186 meV/atom
E_tot = -95.474 eV per cell
formation energy from the elements = 0.10 eV per formula unit

a = 8.241 Å, b = 4.086 Å, c = 5.009 Å
α = 90.00°, β = 90.07°, γ = 90.00°
Fractional coordinates of all 12 atoms:
Ni1 0.235 0.000 0.368
Ni2 0.265 0.500 0.632
Ni3 0.735 0.500 0.368
Ni4 0.765 0.000 0.632
Mo1 0.142 0.000 0.870
Mo2 0.358 0.500 0.130
Mo3 0.642 0.500 0.870
Mo4 0.858 0.000 0.130
Rh1 0.050 0.500 0.249
Rh2 0.450 0.000 0.751
Rh3 0.550 0.000 0.249
Rh4 0.950 0.500 0.751

=====

## SrEr2GeN4 (PBE)

Data for crystalline SrEr2GeN4 at its relaxed geometry.

E_tot = -115.200 eV per cell

a = 6.175 Å, b = 6.175 Å, c = 11.730 Å
α = 90.00°, β = 90.00°, γ = 148.11°
Fractional coordinates of all 16 atoms:
Sr1 0.094 0.906 0.750
Sr2 0.906 0.094 0.250
Er1 0.370 0.630 0.539
Er2 0.370 0.630 0.961
Er3 0.630 0.370 0.039
Er4 0.630 0.370 0.461
Ge1 0.176 0.824 0.250
Ge2 0.824 0.176 0.750
N1 0.000 0.000 0.000
N2 0.000 0.000 0.500
N3 0.261 0.739 0.119
N4 0.261 0.739 0.381
N5 0.416 0.584 0.750
N6 0.584 0.416 0.250
N7 0.739 0.261 0.619
N8 0.739 0.261 0.881

=====

## SrSi (PBE)

Data for crystalline SrSi at its relaxed geometry.

E_tot = -15.036 eV per cell

a = 5.250 Å, b = 5.250 Å, c = 4.890 Å
α = 90.00°, β = 90.00°, γ = 120.00°
Fractional coordinates of all 4 atoms:
Sr1 0.333 0.667 0.250
Sr2 0.667 0.333 0.750
Si1 0.000 0.000 0.000
Si2 0.000 0.000 0.500

=====

## RbNa2SrFe (PBE)

Data for crystalline RbNa2SrFe at its relaxed geometry.

E_tot = -9.932 eV per cell
formation energy from the elements = 3.82 eV per formula unit

a = 5.979 Å, b = 5.979 Å, c = 6.298 Å
α = 90.00°, β = 90.00°, γ = 90.00°
Fractional coordinates of all 5 atoms:
Rb1 0.000 0.000 0.000
Na1 0.000 0.500 0.500
Na2 0.500 0.000 0.500
Sr1 0.500 0.500 0.000
Fe1 0.000 0.000 0.500

=====

## Pu3Ga4Au2 (PBE)

Data for crystalline Pu3Ga4Au2 at its relaxed geometry.

energy above the lowest structure with this stoichiometry = 140 meV/atom
E_tot = -64.515 eV per cell
formation energy from the elements = -2.86 eV per formula unit

a = 5.729 Å, b = 5.729 Å, c = 8.678 Å
α = 99.81°, β = 99.81°, γ = 44.74°
Fractional coordinates of all 9 atoms:
Pu1 0.000 0.000 0.000
Pu2 0.369 0.369 0.605
Pu3 0.631 0.631 0.395
Ga1 0.072 0.072 0.653
Ga2 0.301 0.301 0.923
Ga3 0.699 0.699 0.077
Ga4 0.928 0.928 0.347
Au1 0.310 0.310 0.234
Au2 0.690 0.690 0.766

=====

## GaCuRu3 (PBE)

Data for crystalline GaCuRu3 at its relaxed geometry.

energy above the lowest structure with this stoichiometry = 0 meV/atom
E_tot = -27.512 eV per cell
formation energy from the elements = 7.44 eV per formula unit

a = 4.463 Å, b = 4.463 Å, c = 4.463 Å
α = 90.00°, β = 90.00°, γ = 90.00°
Fractional coordinates of all 5 atoms:
Ga1 0.000 0.000 0.000
Cu1 0.500 0.500 0.500
Ru1 0.000 0.500 0.500
Ru2 0.500 0.000 0.500
Ru3 0.500 0.500 0.000